1:
This record from Alexandria describes a PBEsol-optimized structure of YCr2Os. The functional is meta-GGA SCAN.

Cell lengths 9.4108, 3.0169, 4.9354 Å; angles 90.00, 106.59, 90.00 degrees
Space group C2/m (No. 12)
Unique sites:
Y 0.0000 0.0000 0.0000
Cr 0.2218 0.0000 0.6358
Os 0.0000 0.5000 0.5000

## Properties
As for the density of states at the Fermi level: 3.78 states/eV/f.u.

=====

2:
This record from Alexandria describes a PBEsol-optimized structure of YCr2Os. The functional is meta-GGA SCAN.

Cell lengths 2.9593, 4.6282, 8.7994 Å; angles 90.00, 90.00, 90.00 degrees
Space group Imm2 (No. 44)
Unique sites:
Y 0.0000 0.0000 0.0000
Cr 0.0000 0.0000 0.5202
Cr 0.0000 0.5000 0.2223
Os 0.0000 0.5000 0.7797

## Properties
As for the density of states at the Fermi level: 2.74 states/eV/f.u.

=====

Which one sits at the bottom of the stability order? 2 does.

=====

1:
This record from Alexandria describes a PBEsol-optimized structure of CrP3. The functional is meta-GGA SCAN.

Cell lengths 4.5917, 13.0583, 3.7235 Å; angles 90.00, 90.00, 90.00 degrees
Space group Cmcm (No. 63)
Unique sites:
Cr 0.0000 0.0517 0.2500
P 0.0000 0.4476 0.2500
P 0.2328 0.3001 0.7500

## Properties
As for the density of states at the Fermi level: 2.03 states/eV/f.u.

=====

2:
This record from Alexandria describes a PBEsol-optimized structure of CrP3. The functional is meta-GGA SCAN.

Cell lengths 3.1463, 4.2699, 7.5857 Å; angles 90.00, 90.00, 90.00 degrees
Space group Immm (No. 71)
Unique sites:
Cr 0.0000 0.0000 0.0000
P 0.0000 0.0000 0.5000
P 0.0000 0.5000 0.2198

## Properties
As for the density of states at the Fermi level: 2.33 states/eV/f.u.

=====

Which one sits at the bottom of the stability order? 1 does.

=====

1:
This record from Alexandria describes a PBEsol-optimized structure of Cr5P. The functional is meta-GGA SCAN.

Cell lengths 6.5050, 6.5050, 6.5050 Å; angles 90.00, 90.00, 90.00 degrees
Space group F-43m (No. 216)
Unique sites:
Cr 0.0000 0.0000 0.0000
Cr 0.1238 0.1238 0.6238
P 0.2500 0.2500 0.2500

## Properties
As for the density of states at the Fermi level: 5.52 states/eV/f.u.

=====

2:
This record from Alexandria describes a PBEsol-optimized structure of Cr5P. The functional is meta-GGA SCAN.

Cell lengths 2.8454, 2.8454, 8.1077 Å; angles 90.00, 90.00, 90.00 degrees
Space group P4/mmm (No. 123)
Unique sites:
Cr 0.0000 0.0000 0.0000
Cr 0.0000 0.0000 0.3391
Cr 0.5000 0.5000 0.1697
P 0.5000 0.5000 0.5000

## Properties
As for the density of states at the Fermi level: 3.29 states/eV/f.u.

=====

3:
This record from Alexandria describes a PBEsol-optimized structure of Cr5P. The functional is meta-GGA SCAN.

Cell lengths 8.7270, 2.8780, 5.5155 Å; angles 90.00, 109.11, 90.00 degrees
Space group C2/m (No. 12)
Unique sites:
Cr 0.0000 0.0000 0.0000
Cr 0.1647 0.5000 0.8322
Cr 0.1708 0.5000 0.3366
P 0.0000 0.0000 0.5000

## Properties
As for the density of states at the Fermi level: 3.03 states/eV/f.u.

=====

Which one sits at the bottom of the stability order? 1 does.

=====

1:
This record from Alexandria describes a PBEsol-optimized structure of CrP2Pt. The functional is meta-GGA SCAN.

Cell lengths 5.8979, 5.8979, 5.8979 Å; angles 90.00, 90.00, 90.00 degrees
Space group Fm-3m (No. 225)
Unique sites:
Cr 0.0000 0.0000 0.0000
P 0.2500 0.2500 0.2500
Pt 0.0000 0.0000 0.5000

## Properties
As for the density of states at the Fermi level: 1.95 states/eV/f.u.

=====

2:
This record from Alexandria describes a PBEsol-optimized structure of CrP2Pt. The functional is meta-GGA SCAN.

Cell lengths 2.7392, 2.7392, 7.2515 Å; angles 90.00, 90.00, 90.00 degrees
Space group P4mm (No. 99)
Unique sites:
Cr 0.0000 0.0000 0.0000
P 0.0000 0.0000 0.4975
P 0.5000 0.5000 0.1820
Pt 0.5000 0.5000 0.7428

## Properties
As for the density of states at the Fermi level: 2.35 states/eV/f.u.

=====

3:
This record from Alexandria describes a PBEsol-optimized structure of CrP2Pt. The functional is meta-GGA SCAN.

Cell lengths 2.9416, 2.9416, 5.7675 Å; angles 90.00, 90.00, 90.00 degrees
Space group P4/mmm (No. 123)
Unique sites:
Cr 0.0000 0.0000 0.0000
P 0.5000 0.5000 0.2185
Pt 0.0000 0.0000 0.5000

## Properties
As for the density of states at the Fermi level: 2.47 states/eV/f.u.

=====

4:
This record from Alexandria describes a PBEsol-optimized structure of CrP2Pt. The functional is meta-GGA SCAN.

Cell lengths 7.4004, 2.9150, 4.8434 Å; angles 90.00, 100.96, 90.00 degrees
Space group C2/m (No. 12)
Unique sites:
Cr 0.0000 0.0000 0.0000
P 0.2360 0.5000 0.2025
Pt 0.0000 0.5000 0.5000

## Properties
As for the density of states at the Fermi level: 2.27 states/eV/f.u.

=====

Which one sits at the bottom of the stability order? 2 does.